[1]
VASP calculation (PBE-GGA) on a relaxed structure of Ir2PtBr.

Formation energy without anion corrections in eV per atom: 1.006
Final energy in eV per cell: -21.4
Energy relative to the lowest polymorph listed for this composition in meV/atom: 503
Spin magnetization in μB per formula unit: 0.00
Space group: F-43m, No. 216

Lattice parameters (Å, degrees): 4.525 4.525 4.525 60.00 60.00 60.00
Sites, in units of the cell vectors:
Ir: 0.000 0.000 0.000
Ir: 0.250 0.250 0.250
Pt: 0.750 0.750 0.750
Br: 0.500 0.500 0.500

***

[2]
VASP calculation (PBE-GGA) on a relaxed structure of ScTc2Ge2.

Calculated formation energy in meV/atom: -268
Final energy in eV per cell: -37.6
Energy relative to the lowest polymorph listed for this composition in meV/atom: 70
Spin magnetization in μB per formula unit: 0.00
Space group: I4/mmm, No. 139

Lattice parameters (Å, degrees): 6.037 6.037 6.037 140.82 140.82 56.61
Sites, in units of the cell vectors:
Sc: 0.000 0.000 0.000
Tc: 0.250 0.750 0.500
Tc: 0.750 0.250 0.500
Ge: 0.386 0.386 0.000
Ge: 0.614 0.614 0.000

***

[3]
VASP calculation (PBE-GGA) on a relaxed structure of Na2ZnIn7.

Calculated formation energy in meV/atom: 198
Final energy in eV per cell: -21.1
Spin magnetization in μB per formula unit: 0.00
Space group: Fm-3m, No. 225

Lattice parameters (Å, degrees): 7.799 7.799 7.799 60.00 60.00 60.00
Sites, in units of the cell vectors:
Na: 0.250 0.250 0.250
Na: 0.750 0.750 0.750
Zn: 0.000 0.000 0.000
In: 0.239 0.239 0.761
In: 0.239 0.761 0.239
In: 0.239 0.761 0.761
In: 0.500 0.500 0.500
In: 0.761 0.239 0.239
In: 0.761 0.239 0.761
In: 0.761 0.761 0.239